No. 1
DFT (PBE-GGA) results for a relaxed structure of AcDyHg.

ΔH_f (0 K)   -21 kJ/mol of formula units
Volume   35.94 A^3/atom
E_tot   -3.08 eV per atom
Crystal system   cubic
Size of the total moment   0.044 μB per formula unit

Unit cell a=7.5554 b=7.5554 c=7.5554 alpha=90.00 beta=90.00 gamma=90.00
Fractional positions:
Ac  0.0000  0.0000  0.0000
Ac  0.0000  0.5000  0.5000
Ac  0.5000  0.0000  0.5000
Ac  0.5000  0.5000  0.0000
Dy  0.0000  0.0000  0.5000
Dy  0.0000  0.5000  0.0000
Dy  0.5000  0.0000  0.0000
Dy  0.5000  0.5000  0.5000
Hg  0.2500  0.2500  0.2500
Hg  0.2500  0.7500  0.7500
Hg  0.7500  0.2500  0.7500
Hg  0.7500  0.7500  0.2500

No. 2
DFT (PBE-GGA) results for a relaxed structure of Zr2Al2Ni2IrPt.

Volume   15.62 A^3/atom
E_tot   -7.11 eV per atom
Crystal system   tetragonal
Size of the total moment   0.015 μB per formula unit

Unit cell a=4.4559 b=4.4559 c=6.2955 alpha=90.00 beta=90.00 gamma=90.00
Fractional positions:
Zr  0.0000  0.5000  0.2482
Zr  0.5000  0.0000  0.7518
Al  0.0000  0.5000  0.7526
Al  0.5000  0.0000  0.2474
Ni  0.0000  0.0000  0.0000
Ni  0.5000  0.5000  0.5000
Ir  0.5000  0.5000  0.0000
Pt  0.0000  0.0000  0.5000

Among the records above, which one has the lowest size of the total moment?
Zr2Al2Ni2IrPt

Which value of size of the total moment does entry 1 give?
0.044 μB per formula unit